Here is a geometry-optimized CoTeW structure from Alexandria. Energies are from GGA-PBE.

Properties
**Polymorph energy (0 for the lowest one)**: 182 meV/atom
**E_tot**: -6.970 eV/atom
**N(E_F)**: 3.9 states/eV per cell
**ΔE_f (raw)**: 0.764 eV per atom

Lattice parameters (Å, degrees): 4.2093 4.2093 3.1471 90.00 90.00 120.00
Space group P3m1 (No. 156)
Unique sites:
Co1 0.0000 0.0000 0.0000 x1
Te1 0.3333 0.6667 0.0074 x1
W1 0.6667 0.3333 0.5051 x1